No. 1
Here is a geometry-optimized Pu2AgS4 structure from the Alexandria database. Energies are from PBE.

Total magnetic moment (μB per formula unit): 9.0
Energy above the lowest structure with this stoichiometry (meV/atom): 58.2

CIF file:
```
data_Pu2AgS4
_cell_length_a 6.9801
_cell_length_b 10.6238
_cell_length_c 4.1119
_cell_angle_alpha 90.00
_cell_angle_beta 90.00
_cell_angle_gamma 90.00
_symmetry_space_group_name_H-M 'P b a m'
_symmetry_Int_Tables_number 55
loop_
_symmetry_equiv_pos_as_xyz
'x,y,z'
'-x,-y,-z'
'-x,-y,z'
'x,y,-z'
'x+1/2,-y+1/2,-z'
'-x+1/2,y+1/2,z'
'-x+1/2,y+1/2,-z'
'x+1/2,-y+1/2,z'
loop_
_atom_site_label
_atom_site_fract_x
_atom_site_fract_y
_atom_site_fract_z
_atom_site_occupancy
Pu1 0.1169 0.1825 0.0000 1
Ag1 0.0000 0.5000 0.5000 1
S1 0.1127 0.7213 0.5000 1
S2 0.2289 0.9427 0.0000 1
```

No. 2
Here is a geometry-optimized PuAg3S4 structure from the Alexandria database. Energies are from PBE.

Total magnetic moment (μB per formula unit): 4.1
Raw total energy (eV/atom): -5.350

CIF file:
```
data_PuAg3S4
_cell_length_a 6.9524
_cell_length_b 6.9524
_cell_length_c 6.8641
_cell_angle_alpha 90.00
_cell_angle_beta 90.00
_cell_angle_gamma 90.00
_symmetry_space_group_name_H-M 'I -4 2 m'
_symmetry_Int_Tables_number 121
_symmetry_space_group_name_Hall 'I -4 2'
loop_
_atom_site_label
_atom_site_fract_x
_atom_site_fract_y
_atom_site_fract_z
_atom_site_occupancy
Pu1 0.0000 0.0000 0.0000 1
Ag1 0.0000 0.0000 0.5000 1
Ag2 0.0000 0.5000 0.2500 1
S1 0.2050 0.2050 0.2770 1
```

No. 3
Here is a geometry-optimized Pu5AgS8 structure from the Alexandria database. Energies are from PBE.

Total magnetic moment (μB per formula unit): 25.0
Raw total energy (eV/atom): -9.200

CIF file:
```
data_Pu5AgS8
_cell_length_a 8.2962
_cell_length_b 8.2962
_cell_length_c 8.3666
_cell_angle_alpha 90.00
_cell_angle_beta 90.00
_cell_angle_gamma 90.00
_symmetry_space_group_name_H-M 'I -4'
_symmetry_Int_Tables_number 82
loop_
_symmetry_equiv_pos_as_xyz
'x,y,z'
'y,-x,-z'
'-x,-y,z'
'-y,x,-z'
'x+1/2,y+1/2,z+1/2'
'y+1/2,-x+1/2,-z+1/2'
'-x+1/2,-y+1/2,z+1/2'
'-y+1/2,x+1/2,-z+1/2'
loop_
_atom_site_label
_atom_site_fract_x
_atom_site_fract_y
_atom_site_fract_z
_atom_site_occupancy
Pu1 0.0000 0.0000 0.0000 1
Pu2 0.1295 0.2510 0.6169 1
Ag1 0.0000 0.5000 0.2500 1
S1 0.0689 0.1740 0.2973 1
S2 0.0789 0.3168 0.9343 1
```